1.
{"formula": "BeSb3P", "functional": "PBE-GGA", "state": "optimized geometry", "magnetic_moment_mub_per_fu": 0.0, "dos_at_fermi_per_ev_cell": 3.95, "formation_energy_uncorrected_ev_per_atom": 0.70, "de_polymorph_mev_per_atom": 0, "rho_g_cm3": 5.8, "lattice_angstrom": [[4.865, 0.000, 0.000], [0.000, 4.865, 0.000], [0.000, 0.000, 4.865]], "species": ["Be", "Sb", "Sb", "Sb", "P"], "frac_coords": [[0.000, 0.000, 0.000], [0.000, 0.000, 0.500], [0.000, 0.500, 0.000], [0.500, 0.000, 0.000], [0.500, 0.500, 0.500]]}



2.
{"formula": "BeSnSb2P", "functional": "PBE-GGA", "state": "optimized geometry", "magnetic_moment_mub_per_fu": 0.0, "dos_at_fermi_per_ev_cell": 6.23, "formation_energy_uncorrected_ev_per_atom": 1.40, "rho_g_cm3": 4.2, "lattice_angstrom": [[5.698, 0.000, 0.000], [0.000, 5.698, 0.000], [0.000, 0.000, 4.904]], "species": ["Be", "Sn", "Sb", "Sb", "P"], "frac_coords": [[0.000, 0.000, 0.000], [0.500, 0.500, 0.500], [0.000, 0.500, 0.500], [0.500, 0.000, 0.500], [0.500, 0.500, 0.000]]}



3.
{"formula": "Zr2BeSbP", "functional": "PBE-GGA", "state": "optimized geometry", "magnetic_moment_mub_per_fu": 0.0, "dos_at_fermi_per_ev_cell": 3.19, "formation_energy_uncorrected_ev_per_atom": 0.18, "de_polymorph_mev_per_atom": 0, "rho_g_cm3": 5.8, "lattice_angstrom": [[4.919, 0.000, 0.000], [0.000, 4.919, 0.000], [0.000, 0.000, 4.107]], "species": ["Zr", "Zr", "Be", "Sb", "P"], "frac_coords": [[0.000, 0.500, 0.000], [0.500, 0.000, 0.000], [0.000, 0.000, 0.000], [0.000, 0.000, 0.500], [0.500, 0.500, 0.500]]}



4.
{"formula": "Zr2BeSbP", "functional": "PBE-GGA", "state": "optimized geometry", "magnetic_moment_mub_per_fu": 0.0, "dos_at_fermi_per_ev_cell": 6.28, "formation_energy_uncorrected_ev_per_atom": 1.31, "de_polymorph_mev_per_atom": 1137, "rho_g_cm3": 4.0, "lattice_angstrom": [[5.343, 0.000, 0.000], [0.000, 5.343, 0.000], [0.000, 0.000, 4.973]], "species": ["Zr", "Zr", "Be", "Sb", "P"], "frac_coords": [[0.000, 0.500, 0.000], [0.500, 0.000, 0.000], [0.000, 0.000, 0.500], [0.500, 0.500, 0.000], [0.500, 0.500, 0.500]]}



5.
{"formula": "ScBe2P", "functional": "PBE-GGA", "state": "optimized geometry", "magnetic_moment_mub_per_fu": 0.0, "dos_at_fermi_per_ev_cell": 0.64, "rho_g_cm3": 2.7, "delta_e_f_kj_per_mol_fu": -69, "lattice_angstrom": [[-3.415, 3.415, 2.488], [3.415, -3.415, 2.488], [3.415, 3.415, -2.488]], "species": ["Sc", "Sc", "Be", "Be", "Be", "Be", "P", "P"], "frac_coords": [[0.000, 0.000, 0.000], [0.750, 0.250, 0.500], [0.195, 0.625, 0.070], [0.375, 0.445, 0.570], [0.555, 0.125, 0.930], [0.875, 0.805, 0.430], [0.250, 0.750, 0.500], [0.500, 0.500, 0.000]]}



6.
{"formula": "ScBeP4", "functional": "PBE-GGA", "state": "optimized geometry", "magnetic_moment_mub_per_fu": 0.0, "dos_at_fermi_per_ev_cell": 3.24, "rho_g_cm3": 3.3, "delta_e_f_kj_per_mol_fu": 169, "lattice_angstrom": [[0.000, 3.535, 3.535], [3.535, 0.000, 3.535], [3.535, 3.535, 0.000]], "species": ["Sc", "Be", "P", "P", "P", "P"], "frac_coords": [[0.000, 0.000, 0.000], [0.750, 0.750, 0.750], [0.377, 0.377, 0.377], [0.377, 0.377, 0.869], [0.377, 0.869, 0.377], [0.869, 0.377, 0.377]]}